## Ba2Na2Hg15 (GGA-PBE)

Data for a geometry-optimized Ba2Na2Hg15 structure.

Unit cell a=10.2356 b=10.2356 c=17.9149 alpha=90.00 beta=90.00 gamma=120.00
Last column: nearest neighbours and their distance in Å.
Space group R-3m (No. 166, hexagonal axes)
Unique sites:
1 Ba 0.0000 0.0000 0.1730 [6 per cell]  12 Hg 3.64-3.85
2 Na 0.0000 0.0000 0.4059 [6 per cell]  9 Hg 3.23-3.44, 1 Na 3.37
3 Hg 0.0000 0.2929 0.5000 [18 per cell]  4 Hg 3.00-3.16
4 Hg 0.0000 0.5000 0.0000 [9 per cell]  8 Hg 3.12-3.36, 2 Na 3.23
5 Hg 0.0209 0.5104 0.6306 [18 per cell]  6 Hg 3.06-3.16

Values from the calculation:
calculated formation energy = -240 meV per atom
total magnetization = 0.00 μB/f.u.
raw total energy = -0.819 eV per atom

## TaCr2Ag (GGA-PBE)

Data for a geometry-optimized TaCr2Ag structure.

Unit cell a=2.8867 b=2.8867 c=26.7731 alpha=90.00 beta=90.00 gamma=120.00
Last column: nearest neighbours and their distance in Å.
Space group R-3m (No. 166, hexagonal axes)
Unique sites:
1 Ta 0.0000 0.0000 0.0000 [3 per cell]  6 Cr 2.71, 6 Ta 2.89
2 Cr 0.0000 0.0000 0.2537 [6 per cell]  3 Ta 2.71, 3 Ag 2.86, 6 Cr 2.89
3 Ag 0.0000 0.0000 0.5000 [3 per cell]  6 Cr 2.86, 6 Ag 2.89

Values from the calculation:
calculated formation energy = 566 meV per atom
total magnetization = 4.23 μB/f.u.
distance to the lowest polymorph of the same formula = 301.2 meV per atom
raw total energy = -7.922 eV per atom

## Cs2SrTlI6 (GGA-PBE)

Data for a geometry-optimized Cs2SrTlI6 structure.

Unit cell a=8.7632 b=9.1736 c=15.3608 alpha=90.00 beta=124.43 gamma=90.00
Last column: nearest neighbours and their distance in Å.
Space group P2_1/c (No. 14)
Unique sites:
1 Cs 0.2239 0.0758 0.2492 [4 per cell]  7 I 3.90-4.32
2 Sr 0.5000 0.0000 0.0000 [2 per cell]  6 I 3.28-3.31
3 Tl 0.0000 0.0000 0.5000 [2 per cell]  6 I 3.25-3.29
4 I 0.1506 0.1989 0.9562 [4 per cell]  1 Sr 3.29, 1 Tl 3.29
5 I 0.2587 0.6987 0.9552 [4 per cell]  1 Tl 3.27, 1 Sr 3.31
6 I 0.3382 0.0121 0.7486 [4 per cell]  1 Tl 3.25, 1 Sr 3.28

Values from the calculation:
total magnetization = 0.00 μB/f.u.
distance to the lowest polymorph of the same formula = 0.0 meV per atom
raw total energy = -2.728 eV per atom

## LaTbNi (GGA-PBE)

Data for a geometry-optimized LaTbNi structure.

Unit cell a=3.4937 b=3.4937 c=12.8375 alpha=90.00 beta=90.00 gamma=90.00
Last column: nearest neighbours and their distance in Å.
Space group I4mm (No. 107)
Unique sites:
1 La 0.0000 0.0000 0.0000 [2 per cell]  4 Ni 3.08, 1 Tb 3.31
2 Tb 0.0000 0.0000 0.2582 [2 per cell]  4 Ni 2.88
3 Ni 0.0000 0.0000 0.6433 [2 per cell]  4 Tb 2.88, 4 La 3.08

Values from the calculation:
calculated formation energy = -184 meV per atom
total magnetization = 0.00 μB/f.u.
distance to the lowest polymorph of the same formula = 76.3 meV per atom
raw total energy = -5.297 eV per atom

## PrNdTm2As4 (GGA-PBE)

Data for a geometry-optimized PrNdTm2As4 structure.

Unit cell a=7.2279 b=4.1828 c=7.2406 alpha=90.00 beta=109.50 gamma=90.00
Last column: nearest neighbours and their distance in Å.
Space group P2/m (No. 10)
Unique sites:
1 Pr 0.0000 0.0000 0.0000 [1 per cell]  6 As 3.01-3.02
2 Nd 0.0000 0.5000 0.5000 [1 per cell]  6 As 3.01
3 Tm 0.5000 0.0000 0.5000 [1 per cell]  6 As 2.90
4 Tm 0.5000 0.5000 0.0000 [1 per cell]  6 As 2.90-2.91
5 As 0.2637 0.0000 0.7536 [2 per cell]  3 Tm 2.90-2.91, 2 Nd 3.01, 1 Pr 3.01
6 As 0.2643 0.5000 0.2557 [2 per cell]  3 Tm 2.90, 1 Nd 3.01, 2 Pr 3.02

Values from the calculation:
calculated formation energy = -1494 meV per atom
total magnetization = 0.00 μB/f.u.
raw total energy = -6.130 eV per atom

## Ba2SmDyS4 (GGA-PBE)

Data for a geometry-optimized Ba2SmDyS4 structure.

Unit cell a=7.1893 b=4.1596 c=7.5349 alpha=90.00 beta=108.61 gamma=90.00
Last column: nearest neighbours and their distance in Å.
Space group P2/m (No. 10)
Unique sites:
1 Ba 0.0000 0.0000 0.0000 [1 per cell]  6 S 3.18
2 Ba 0.5000 0.5000 0.0000 [1 per cell]  6 S 3.14
3 Sm 0.0000 0.5000 0.5000 [1 per cell]  6 S 2.86
4 Dy 0.5000 0.0000 0.5000 [1 per cell]  6 S 2.81-2.82
5 S 0.2430 0.0000 0.7134 [2 per cell]  1 Dy 2.81, 2 Sm 2.86, 2 Ba 3.14
6 S 0.2676 0.5000 0.2892 [2 per cell]  2 Dy 2.82, 1 Sm 2.86, 1 Ba 3.14

Values from the calculation:
total magnetization = 0.00 μB/f.u.
raw total energy = -5.722 eV per atom

## Os2RuBr (GGA-PBE)

Data for a geometry-optimized Os2RuBr structure.

Unit cell a=5.5889 b=7.7360 c=2.8241 alpha=90.00 beta=90.00 gamma=90.00
Last column: nearest neighbours and their distance in Å.
Space group Cmmm (No. 65)
Unique sites:
1 Os 0.2500 0.2500 0.0000 [4 per cell]  4 Br 2.77, 4 Ru 2.77, 4 Os 2.79-2.82
2 Ru 0.0000 0.0000 0.5000 [2 per cell]  8 Os 2.77, 2 Br 2.79, 2 Ru 2.82
3 Br 0.0000 0.5000 0.5000 [2 per cell]  8 Os 2.77, 2 Ru 2.79, 2 Br 2.82

Values from the calculation:
total magnetization = 0.00 μB/f.u.
distance to the lowest polymorph of the same formula = 583.0 meV per atom
raw total energy = -7.045 eV per atom

## Na5BiBr8 (GGA-PBE)

Data for a geometry-optimized Na5BiBr8 structure.

Unit cell a=9.6563 b=9.6563 c=8.7801 alpha=90.00 beta=90.00 gamma=90.00
Last column: nearest neighbours and their distance in Å.
Space group I-4 (No. 82)
Unique sites:
1 Na 0.0000 0.0000 0.0000 [2 per cell]  4 Br 3.00
2 Na 0.1858 0.2613 0.3567 [8 per cell]  6 Br 2.87-3.18
3 Bi 0.0000 0.5000 0.7500 [2 per cell]  4 Br 2.92
4 Br 0.0471 0.2137 0.6567 [8 per cell]  1 Bi 2.92, 3 Na 2.99-3.13
5 Br 0.0467 0.3028 0.0549 [8 per cell]  4 Na 2.87-3.18

Values from the calculation:
total magnetization = 0.00 μB/f.u.
raw total energy = -2.972 eV per atom

## Ca2Cd5PdRh2 (GGA-PBE)

Data for a geometry-optimized Ca2Cd5PdRh2 structure.

Unit cell a=10.1832 b=10.1832 c=4.0822 alpha=90.00 beta=90.00 gamma=90.00
Last column: nearest neighbours and their distance in Å.
Space group P4/mbm (No. 127)
Unique sites:
1 Ca 0.1728 0.3272 0.0000 [4 per cell]  3 Rh 2.88-3.09, 2 Cd 3.22
2 Cd 0.0000 0.5000 0.5000 [2 per cell]  4 Rh 2.75
3 Cd 0.0626 0.8033 0.5000 [8 per cell]  2 Rh 2.79, 2 Pd 2.93, 2 Cd 2.97
4 Pd 0.0000 0.0000 0.0000 [2 per cell]  8 Cd 2.93
5 Rh 0.1275 0.6275 0.0000 [4 per cell]  6 Cd 2.75-2.79, 1 Ca 2.88

Values from the calculation:
calculated formation energy = -329 meV per atom
total magnetization = 0.00 μB/f.u.
raw total energy = -3.176 eV per atom

## HfCu4Sb (GGA-PBE)

Data for a geometry-optimized HfCu4Sb structure.

Unit cell a=7.1749 b=7.1749 c=7.1749 alpha=90.00 beta=90.00 gamma=90.00
Last column: nearest neighbours and their distance in Å.
Space group F-43m (No. 216)
Unique sites:
1 Hf 0.0000 0.0000 0.0000 [4 per cell]  12 Cu 2.97, 4 Sb 3.11
2 Cu 0.1257 0.1257 0.3743 [16 per cell]  6 Cu 2.52-2.55
3 Sb 0.2500 0.2500 0.7500 [4 per cell]  12 Cu 2.98, 4 Hf 3.11

Values from the calculation:
total magnetization = 0.00 μB/f.u.
raw total energy = -5.076 eV per atom

## SbSICl2 (GGA-PBE)

Data for a geometry-optimized SbSICl2 structure.

Unit cell a=5.4530 b=5.4530 c=5.2694 alpha=90.00 beta=90.00 gamma=90.00
Last column: nearest neighbours and their distance in Å.
Space group P4/mmm (No. 123)
Unique sites:
1 Sb 0.0000 0.0000 0.0000 [1 per cell]  8 Cl 3.79, 4 S 3.86
2 S 0.5000 0.5000 0.0000 [1 per cell]  2 I 2.63
3 I 0.5000 0.5000 0.5000 [1 per cell]  2 S 2.63, 4 Cl 2.73
4 Cl 0.0000 0.5000 0.5000 [2 per cell]  2 I 2.73

Values from the calculation:
total magnetization = 1.66 μB/f.u.
distance to the lowest polymorph of the same formula = 614.6 meV per atom
raw total energy = -2.113 eV per atom

## MoOsS (GGA-PBE)

Data for a geometry-optimized MoOsS structure.

Unit cell a=3.0175 b=5.7165 c=10.9222 alpha=90.00 beta=90.00 gamma=90.00
Last column: nearest neighbours and their distance in Å.
Space group Amm2 (No. 38)
Unique sites:
1 Mo 0.0000 0.2468 0.0000 [4 per cell]  3 S 2.42-2.53, 4 Os 2.64-2.68
2 Os 0.5000 0.0000 0.3517 [2 per cell]  1 S 2.38, 4 Mo 2.64
3 Os 0.5000 0.0000 0.8444 [2 per cell]  2 S 2.36
4 S 0.0000 0.0000 0.6777 [2 per cell]  2 Os 2.36, 2 Mo 2.42
5 S 0.5000 0.0000 0.1337 [2 per cell]  1 Os 2.38, 4 Mo 2.53

Values from the calculation:
total magnetization = 0.00 μB/f.u.
distance to the lowest polymorph of the same formula = 32.0 meV per atom
raw total energy = -8.815 eV per atom